(1)
This record from Alexandria via LeMat-Bulk describes a geometry-optimized NaGe2MoOs structure. The functional is PBE.

Results
final energy: -5.713 eV/atom
symmetry: P4/mmm (123)
formation energy from the elements: 0.810 eV per atom

a b c (Å): 4.801 4.801 5.100
angles (deg): 90.00 90.00 90.00
Atoms (fractional coordinates):
Na1 0.000 0.000 0.000
Ge1 0.000 0.500 0.500
Ge2 0.500 0.000 0.500
Mo1 0.500 0.500 0.000
Os1 0.500 0.500 0.500

(2)
This record from Alexandria via LeMat-Bulk describes a geometry-optimized NaGeMo2Pd structure. The functional is PBE.

Results
final energy: -4.468 eV/atom
symmetry: P4/mmm (123)
formation energy from the elements: 2.090 eV per atom

a b c (Å): 4.676 4.676 4.416
angles (deg): 90.00 90.00 90.00
Atoms (fractional coordinates):
Na1 0.000 0.000 0.000
Ge1 0.500 0.500 0.500
Mo1 0.000 0.500 0.000
Mo2 0.500 0.000 0.000
Pd1 0.000 0.000 0.500

(3)
This record from Alexandria via LeMat-Bulk describes a geometry-optimized NaGeMoPt2 structure. The functional is PBE.

Results
final energy: -4.071 eV/atom
symmetry: P4/mmm (123)
formation energy from the elements: 1.698 eV per atom

a b c (Å): 4.653 4.653 4.717
angles (deg): 90.00 90.00 90.00
Atoms (fractional coordinates):
Na1 0.000 0.000 0.000
Ge1 0.500 0.500 0.500
Mo1 0.000 0.000 0.500
Pt1 0.000 0.500 0.000
Pt2 0.500 0.000 0.000

(4)
This record from Alexandria via LeMat-Bulk describes a geometry-optimized NaGeMoRu2 structure. The functional is PBE.

Results
final energy: -4.761 eV/atom
symmetry: P4/mmm (123)
formation energy from the elements: 2.302 eV per atom

a b c (Å): 4.533 4.533 4.562
angles (deg): 90.00 90.00 90.00
Atoms (fractional coordinates):
Na1 0.000 0.000 0.000
Ge1 0.500 0.500 0.500
Mo1 0.000 0.000 0.500
Ru1 0.000 0.500 0.000
Ru2 0.500 0.000 0.000

(5)
This record from Alexandria via LeMat-Bulk describes a geometry-optimized Na2SrGeMo structure. The functional is PBE.

Results
final energy: -3.358 eV/atom
symmetry: P4/mmm (123)
formation energy from the elements: 0.595 eV per atom

a b c (Å): 5.634 5.634 4.979
angles (deg): 90.00 90.00 90.00
Atoms (fractional coordinates):
Na1 0.000 0.500 0.000
Na2 0.500 0.000 0.000
Sr1 0.000 0.000 0.500
Ge1 0.500 0.500 0.500
Mo1 0.500 0.500 0.000

(6)
This record from Alexandria via LeMat-Bulk describes a geometry-optimized NaSrGeMo2 structure. The functional is PBE.

Results
final energy: -3.443 eV/atom
symmetry: P4/mmm (123)
formation energy from the elements: 2.413 eV per atom

a b c (Å): 4.995 4.995 5.093
angles (deg): 90.00 90.00 90.00
Atoms (fractional coordinates):
Na1 0.000 0.000 0.000
Sr1 0.000 0.000 0.500
Ge1 0.500 0.500 0.000
Mo1 0.000 0.500 0.500
Mo2 0.500 0.000 0.500